Y4PuZn5: optimized geometry, PBE.

abc: 3.255 3.255 24.134
angles: 90.00 90.00 90.00
Fractional positions:
Y 0.000 0.000 0.830
Y 0.000 0.000 0.315
Y 0.000 0.000 0.170
Y 0.000 0.000 0.685
Zn 0.500 0.500 0.089
Zn 0.500 0.500 0.396
Zn 0.500 0.500 0.604
Zn 0.500 0.500 0.911
Zn 0.500 0.500 0.500
Pu 0.000 0.000 0.000

Raw total energy in eV per atom: -4.527
SG: P4/mmm
M_tot in μB/f.u.: 5.03


TcHg3B: optimized geometry, PBE.

abc: 4.587 4.587 4.587
angles: 90.00 90.00 90.00
Fractional positions:
Hg 0.000 0.000 0.500
Hg 0.500 0.000 0.000
Hg 0.000 0.500 0.000
B 0.000 0.000 0.000
Tc 0.500 0.500 0.500

Excess energy over the best structure of this formula in the dataset in meV/atom: 0
SG: Pm-3m
M_tot in μB/f.u.: 2.83


K8Tl6Pd: optimized geometry, PBE.

abc: 9.234 9.234 9.234
angles: 66.24 66.24 66.24
Fractional positions:
K 0.252 0.460 0.932
K 0.460 0.932 0.252
K 0.932 0.252 0.460
K 0.068 0.748 0.540
K 0.638 0.638 0.638
K 0.748 0.540 0.068
K 0.540 0.068 0.748
K 0.362 0.362 0.362
Tl 0.048 0.305 0.767
Tl 0.952 0.695 0.233
Tl 0.695 0.233 0.952
Tl 0.233 0.952 0.695
Tl 0.305 0.767 0.048
Tl 0.767 0.048 0.305
Pd 0.000 0.000 0.000

Raw total energy in eV per atom: -1.951
SG: R-3
M_tot in μB/f.u.: 0.00


Tb8Er5Cd: optimized geometry, PBE.

abc: 8.377 8.377 8.377
angles: 110.48 107.48 110.48
Fractional positions:
Tb 0.657 0.395 0.918
Tb 0.343 0.276 0.440
Tb 0.082 0.739 0.477
Tb 0.523 0.605 0.262
Tb 0.560 0.904 0.836
Tb 0.932 0.096 0.657
Tb 0.738 0.261 0.343
Tb 0.164 0.724 0.068
Er 0.285 0.103 0.979
Er 0.818 0.694 0.715
Er 0.500 0.000 0.500
Er 0.021 0.306 0.123
Er 0.877 0.897 0.182
Cd 0.250 0.500 0.750

Raw total energy in eV per atom: -4.134
SG: I-4
M_tot in μB/f.u.: 0.01


SmDy3Tl4Te8: optimized geometry, PBE.

abc: 8.939 9.677 8.939
angles: 117.51 120.00 90.00
Fractional positions:
Te 0.262 0.287 0.525
Te 0.738 0.713 0.475
Te 0.241 0.715 0.974
Te 0.734 0.715 0.974
Te 0.759 0.285 0.026
Te 0.759 0.285 0.519
Te 0.266 0.285 0.026
Te 0.241 0.715 0.481
Tl 0.500 0.000 0.500
Tl 0.000 0.000 0.500
Tl 0.500 0.000 0.000
Tl 0.000 0.000 0.000
Dy 0.500 0.500 0.500
Dy 0.000 0.500 0.500
Dy 0.500 0.500 0.000
Sm 0.000 0.500 0.000

Uncorrected formation energy in eV/atom: -1.057
SG: R-3m
M_tot in μB/f.u.: 0.00


Ce2PuRh2: optimized geometry, PBE.

abc: 7.008 8.126 8.408
angles: 90.00 110.47 90.00
Fractional positions:
Ce 0.482 0.798 0.921
Ce 0.779 0.098 0.768
Ce 0.018 0.298 0.079
Ce 0.721 0.598 0.232
Ce 0.221 0.902 0.232
Ce 0.279 0.402 0.768
Ce 0.518 0.202 0.079
Ce 0.982 0.702 0.921
Rh 0.183 0.038 0.856
Rh 0.683 0.462 0.856
Rh 0.817 0.962 0.144
Rh 0.886 0.477 0.619
Rh 0.614 0.977 0.381
Rh 0.317 0.538 0.144
Rh 0.114 0.523 0.381
Rh 0.386 0.023 0.619
Pu 0.978 0.189 0.457
Pu 0.522 0.689 0.543
Pu 0.022 0.811 0.543
Pu 0.478 0.311 0.457

Excess energy over the best structure of this formula in the dataset in meV/atom: 0
SG: P2_1/c
M_tot in μB/f.u.: 6.77


PmSm3Th4Se8: optimized geometry, PBE.

abc: 8.267 8.491 8.266
angles: 119.12 120.00 90.00
Fractional positions:
Se 0.253 0.256 0.004
Se 0.748 0.743 0.496
Se 0.252 0.257 0.504
Se 0.747 0.744 0.996
Se 0.248 0.744 0.996
Se 0.248 0.744 0.497
Se 0.752 0.256 0.004
Se 0.752 0.256 0.503
Th 0.000 0.000 0.000
Th 0.500 0.000 0.000
Th 0.500 0.000 0.500
Th 0.000 0.000 0.500
Pm 0.000 0.500 0.000
Sm 0.500 0.500 0.500
Sm 0.000 0.500 0.500
Sm 0.500 0.500 0.000

Uncorrected formation energy in eV/atom: -1.677
SG: R-3m
M_tot in μB/f.u.: 0.00


LiCoP2: optimized geometry, PBE.

abc: 4.256 2.702 4.384
angles: 89.98 90.00 90.00
Fractional positions:
Co 0.000 0.250 0.483
P 0.000 0.250 0.977
P 0.500 0.250 0.280
Li 0.500 0.750 0.760

Excess energy over the best structure of this formula in the dataset in meV/atom: 233
SG: Pmm2
M_tot in μB/f.u.: 0.35